NaCd6 (PBE, relaxed); D(E_F) = 0.654 states/eV/atom; E above lowest polymorph = 0.356 eV/atom; symmetry = Pm-3m; density = 3414 kg/m³
1.0
-0.3267 6.8995 -0.9643
-1.5372 0.8702 6.7469
6.7949 0.5286 1.4800
Cd Na
6 1
direct
0.8046 0.5000 0.5000 Cd
0.5000 0.5000 0.8046 Cd
0.1954 0.5000 0.5000 Cd
0.5000 0.1954 0.5000 Cd
0.5000 0.5000 0.1954 Cd
0.5000 0.8046 0.5000 Cd
0.0000 0.0000 0.0000 Na



Nd6GeBr8 (PBE, relaxed); D(E_F) = 0.396 states/eV/atom; symmetry = R-3; uncorrected formation energy = -1481 meV/atom; density = 5156 kg/m³
1.0
-4.9373 -0.4778 5.4769
-3.9252 -6.1947 0.9059
4.6554 -6.0919 8.6501
Br Nd Ge
8 6 1
direct
0.2306 0.5542 0.3228 Br
0.4458 0.1075 0.6772 Br
0.6667 0.6667 0.0000 Br
0.1075 0.7694 0.6772 Br
0.7694 0.4458 0.6772 Br
0.8925 0.2306 0.3228 Br
0.3333 0.3333 0.0000 Br
0.5542 0.8925 0.3228 Br
0.7433 0.0521 0.8438 Nd
0.0521 0.3607 0.8438 Nd
0.6393 0.2567 0.1562 Nd
0.9479 0.6393 0.1562 Nd
0.3607 0.7433 0.8438 Nd
0.2567 0.9479 0.1562 Nd
0.0000 0.0000 0.0000 Ge



In2SbI8 (PBE, relaxed); D(E_F) = 0.489 states/eV/atom; symmetry = C2/m; uncorrected formation energy = -371 meV/atom; density = 3832 kg/m³
1.0
-1.4007 -7.0621 3.6386
-1.2778 -3.7752 -7.9517
7.5710 -3.1896 -3.4089
In I Sb
2 8 1
direct
0.6546 0.1979 0.1979 In
0.3454 0.8021 0.8021 In
0.1553 0.6654 0.0945 I
0.8447 0.9055 0.3346 I
0.6873 0.3815 0.3815 I
0.6679 0.8719 0.8719 I
0.1553 0.0945 0.6654 I
0.3321 0.1281 0.1281 I
0.8447 0.3346 0.9055 I
0.3127 0.6185 0.6185 I
0.0000 0.0000 0.0000 Sb



Pm2BeIr (PBE, relaxed); D(E_F) = 0.657 states/eV/atom; E above lowest polymorph = 0.222 eV/atom; symmetry = Fm-3m; density = 9295 kg/m³
1.0
4.9881 0.0000 0.0000
2.4940 4.3198 0.0000
2.4940 1.4399 4.0727
Be Pm Ir
1 2 1
direct
0.5000 0.5000 0.5000 Be
0.7500 0.7500 0.7500 Pm
0.2500 0.2500 0.2500 Pm
0.0000 0.0000 0.0000 Ir



Look up the D(E_F) of the third one. 0.489 states/eV/atom



The highest D(E_F) belongs to which entry? Pm2BeIr